The following is a GGA-PBE calculation of Te2IrAu after structural relaxation, from the Alexandria database.

Structure (POSCAR):
```
Te2IrAu
1.0
-2.798 1.781 1.466
-2.289 -2.440 -1.404
0.592 -4.011 6.006
Ir Te Au
1 2 1
Direct
0.500 0.500 0.733
0.000 0.000 0.898
0.500 0.500 0.354
0.000 0.000 0.515
```

symmetry	P4mm (99)
V	95	Å³/f.u.
raw formation energy	238	meV per atom
polymorph energy (0 for the lowest one)	37.99	kJ/mol of atoms
crystal system	tetragonal
Fermi-level density of states	0.38	states/eV/atom